1.
{
  "formula": "NdZnPt",
  "functional": "GGA-PBE",
  "state": "relaxed",
  "e_form_ev_per_atom": -0.71,
  "magmom_total_mub_per_cell": 0.0,
  "lattice_angstrom": [[0.000, 3.320, 3.320], [3.320, 0.000, 3.320], [3.320, 3.320, 0.000]],
  "species": ["Nd", "Zn", "Pt"],
  "frac_coords": [[0.000, 0.000, 0.000], [0.500, 0.500, 0.500], [0.250, 0.250, 0.250]]
}

2.
{
  "formula": "Nd2Zn3Pt4",
  "functional": "GGA-PBE",
  "state": "relaxed",
  "e_form_ev_per_atom": -0.85,
  "magmom_total_mub_per_cell": 0.0,
  "lattice_angstrom": [[2.832, -7.795, 0.000], [2.832, 7.795, 0.000], [0.000, 0.000, 7.630]],
  "species": ["Nd", "Nd", "Nd", "Nd", "Zn", "Zn", "Zn", "Zn", "Zn", "Zn", "Pt", "Pt", "Pt", "Pt", "Pt", "Pt", "Pt", "Pt"],
  "frac_coords": [[0.112, 0.888, 0.915], [0.388, 0.612, 0.415], [0.612, 0.388, 0.585], [0.888, 0.112, 0.085], [0.000, 0.000, 0.500], [0.023, 0.477, 0.750], [0.477, 0.023, 0.250], [0.500, 0.500, 0.000], [0.523, 0.977, 0.750], [0.977, 0.523, 0.250], [0.178, 0.822, 0.525], [0.190, 0.310, 0.750], [0.310, 0.190, 0.250], [0.322, 0.678, 0.025], [0.678, 0.322, 0.975], [0.690, 0.810, 0.750], [0.810, 0.690, 0.250], [0.822, 0.178, 0.475]]
}

3.
{
  "formula": "Nd2ZnPt",
  "functional": "GGA-PBE",
  "state": "relaxed",
  "e_form_ev_per_atom": -0.74,
  "magmom_total_mub_per_cell": 0.0,
  "lattice_angstrom": [[6.009, 0.000, 0.000], [0.000, 4.586, 0.000], [-2.938, 0.000, 7.249]],
  "species": ["Nd", "Nd", "Nd", "Nd", "Zn", "Zn", "Pt", "Pt"],
  "frac_coords": [[0.184, 0.250, 0.416], [0.283, 0.750, 0.069], [0.717, 0.250, 0.931], [0.816, 0.750, 0.584], [0.372, 0.750, 0.707], [0.628, 0.250, 0.293], [0.150, 0.250, 0.788], [0.850, 0.750, 0.212]]
}

4.
{
  "formula": "NdZn4Pt2",
  "functional": "GGA-PBE",
  "state": "relaxed",
  "e_form_ev_per_atom": -0.65,
  "magmom_total_mub_per_cell": 0.0,
  "lattice_angstrom": [[7.619, 0.000, 0.000], [0.000, 7.619, 0.000], [0.000, 0.000, 4.268]],
  "species": ["Nd", "Nd", "Zn", "Zn", "Zn", "Zn", "Zn", "Zn", "Zn", "Zn", "Pt", "Pt", "Pt", "Pt"],
  "frac_coords": [[0.000, 0.000, 0.000], [0.500, 0.500, 0.500], [0.095, 0.351, 0.500], [0.149, 0.595, 0.000], [0.351, 0.095, 0.500], [0.405, 0.851, 0.000], [0.595, 0.149, 0.000], [0.649, 0.905, 0.500], [0.851, 0.405, 0.000], [0.905, 0.649, 0.500], [0.217, 0.783, 0.500], [0.283, 0.283, 0.000], [0.717, 0.717, 0.000], [0.783, 0.217, 0.500]]
}

5.
{
  "formula": "NdZrPt",
  "functional": "GGA-PBE",
  "state": "relaxed",
  "e_form_ev_per_atom": 0.33,
  "magmom_total_mub_per_cell": 0.0,
  "polymorph_energy_mev_per_atom": 1126,
  "lattice_angstrom": [[0.000, 3.335, 3.335], [3.335, 0.000, 3.335], [3.335, 3.335, 0.000]],
  "species": ["Nd", "Zr", "Pt"],
  "frac_coords": [[0.000, 0.000, 0.000], [0.250, 0.250, 0.250], [0.750, 0.750, 0.750]]
}

6.
{
  "formula": "NdZrPt",
  "functional": "GGA-PBE",
  "state": "relaxed",
  "e_form_ev_per_atom": -0.45,
  "magmom_total_mub_per_cell": 0.0,
  "polymorph_energy_mev_per_atom": 345,
  "lattice_angstrom": [[0.000, 3.401, 3.401], [3.401, 0.000, 3.401], [3.401, 3.401, 0.000]],
  "species": ["Nd", "Zr", "Pt"],
  "frac_coords": [[0.000, 0.000, 0.000], [0.500, 0.500, 0.500], [0.250, 0.250, 0.250]]
}

7.
{
  "formula": "NdPu",
  "functional": "GGA-PBE",
  "state": "relaxed",
  "e_form_ev_per_atom": 1.48,
  "magmom_total_mub_per_cell": 6.8,
  "polymorph_energy_mev_per_atom": 1338,
  "lattice_angstrom": [[0.000, 3.327, 3.327], [3.327, 0.000, 3.327], [3.327, 3.327, 0.000]],
  "species": ["Nd", "Pu"],
  "frac_coords": [[0.000, 0.000, 0.000], [0.750, 0.750, 0.750]]
}

8.
{
  "formula": "NdPu",
  "functional": "GGA-PBE",
  "state": "relaxed",
  "e_form_ev_per_atom": 1.02,
  "magmom_total_mub_per_cell": 5.6,
  "polymorph_energy_mev_per_atom": 879,
  "lattice_angstrom": [[0.000, 2.909, 2.909], [2.909, 0.000, 2.909], [2.909, 2.909, 0.000]],
  "species": ["Nd", "Pu"],
  "frac_coords": [[0.000, 0.000, 0.000], [0.500, 0.500, 0.500]]
}

9.
{
  "formula": "NdPu",
  "functional": "GGA-PBE",
  "state": "relaxed",
  "e_form_ev_per_atom": 0.14,
  "magmom_total_mub_per_cell": 6.3,
  "polymorph_energy_mev_per_atom": 0,
  "lattice_angstrom": [[3.531, 0.000, 0.000], [-1.765, 3.058, 0.000], [0.000, 0.000, 5.837]],
  "species": ["Nd", "Pu"],
  "frac_coords": [[0.000, 0.000, 0.000], [0.667, 0.333, 0.500]]
}

10.
{
  "formula": "NdPu2",
  "functional": "GGA-PBE",
  "state": "relaxed",
  "e_form_ev_per_atom": 2.43,
  "magmom_total_mub_per_cell": 25.0,
  "lattice_angstrom": [[0.000, 6.405, 6.405], [6.405, 0.000, 6.405], [6.405, 6.405, 0.000]],
  "species": ["Nd", "Nd", "Pu", "Pu", "Pu", "Pu"],
  "frac_coords": [[0.125, 0.125, 0.125], [0.875, 0.875, 0.875], [0.000, 0.000, 0.000], [0.000, 0.000, 0.500], [0.000, 0.500, 0.000], [0.500, 0.000, 0.000]]
}

11.
{
  "formula": "NdPuSb2",
  "functional": "GGA-PBE",
  "state": "relaxed",
  "total_energy_ev_per_atom": -7.710,
  "magmom_total_mub_per_cell": 5.1,
  "lattice_angstrom": [[4.471, 0.000, 0.000], [0.000, 4.471, 0.000], [0.000, 0.000, 6.321]],
  "species": ["Nd", "Pu", "Sb", "Sb"],
  "frac_coords": [[0.000, 0.000, 0.000], [0.500, 0.500, 0.500], [0.000, 0.000, 0.500], [0.500, 0.500, 0.000]]
}

12.
{
  "formula": "NdPuSi",
  "functional": "GGA-PBE",
  "state": "relaxed",
  "magmom_total_mub_per_cell": 6.3,
  "polymorph_energy_mev_per_atom": 0,
  "lattice_angstrom": [[0.000, 3.383, 3.383], [3.383, 0.000, 3.383], [3.383, 3.383, 0.000]],
  "species": ["Nd", "Pu", "Si"],
  "frac_coords": [[0.000, 0.000, 0.000], [0.500, 0.500, 0.500], [0.250, 0.250, 0.250]]
}

13.
{
  "formula": "NdSmPu",
  "functional": "GGA-PBE",
  "state": "relaxed",
  "e_form_ev_per_atom": 0.81,
  "magmom_total_mub_per_cell": 7.0,
  "polymorph_energy_mev_per_atom": 0,
  "lattice_angstrom": [[0.000, 3.718, 3.718], [3.718, 0.000, 3.718], [3.718, 3.718, 0.000]],
  "species": ["Nd", "Sm", "Pu"],
  "frac_coords": [[0.000, 0.000, 0.000], [0.750, 0.750, 0.750], [0.250, 0.250, 0.250]]
}

14.
{
  "formula": "SrNdPu",
  "functional": "GGA-PBE",
  "state": "relaxed",
  "magmom_total_mub_per_cell": 8.0,
  "polymorph_energy_mev_per_atom": 0,
  "lattice_angstrom": [[0.000, 4.040, 4.040], [4.040, 0.000, 4.040], [4.040, 4.040, 0.000]],
  "species": ["Sr", "Nd", "Pu"],
  "frac_coords": [[0.000, 0.000, 0.000], [0.250, 0.250, 0.250], [0.500, 0.500, 0.500]]
}

15.
{
  "formula": "NdPuTa",
  "functional": "GGA-PBE",
  "state": "relaxed",
  "e_form_ev_per_atom": 1.34,
  "magmom_total_mub_per_cell": 4.8,
  "lattice_angstrom": [[0.000, 3.333, 3.333], [3.333, 0.000, 3.333], [3.333, 3.333, 0.000]],
  "species": ["Nd", "Pu", "Ta"],
  "frac_coords": [[0.000, 0.000, 0.000], [0.250, 0.250, 0.250], [0.750, 0.750, 0.750]]
}

16.
{
  "formula": "TbNdPu",
  "functional": "GGA-PBE",
  "state": "relaxed",
  "e_form_ev_per_atom": 0.81,
  "magmom_total_mub_per_cell": 7.4,
  "polymorph_energy_mev_per_atom": 0,
  "lattice_angstrom": [[0.000, 3.758, 3.758], [3.758, 0.000, 3.758], [3.758, 3.758, 0.000]],
  "species": ["Tb", "Nd", "Pu"],
  "frac_coords": [[0.000, 0.000, 0.000], [0.250, 0.250, 0.250], [0.500, 0.500, 0.500]]
}

17.
{
  "formula": "NdPuTc",
  "functional": "GGA-PBE",
  "state": "relaxed",
  "e_form_ev_per_atom": -0.06,
  "magmom_total_mub_per_cell": 9.5,
  "polymorph_energy_mev_per_atom": 0,
  "lattice_angstrom": [[2.035, -5.746, 0.000], [2.035, 5.746, 0.000], [0.000, 0.000, 6.316]],
  "species": ["Nd", "Nd", "Pu", "Pu", "Tc", "Tc"],
  "frac_coords": [[0.214, 0.786, 0.750], [0.786, 0.214, 0.250], [0.500, 0.500, 0.000], [0.500, 0.500, 0.500], [0.079, 0.921, 0.250], [0.921, 0.079, 0.750]]
}

18.
{
  "formula": "NdPuTc",
  "functional": "GGA-PBE",
  "state": "relaxed",
  "e_form_ev_per_atom": 0.96,
  "magmom_total_mub_per_cell": 4.5,
  "polymorph_energy_mev_per_atom": 1020,
  "lattice_angstrom": [[0.000, 3.247, 3.247], [3.247, 0.000, 3.247], [3.247, 3.247, 0.000]],
  "species": ["Nd", "Pu", "Tc"],
  "frac_coords": [[0.000, 0.000, 0.000], [0.750, 0.750, 0.750], [0.250, 0.250, 0.250]]
}

19.
{
  "formula": "NdPuTe",
  "functional": "GGA-PBE",
  "state": "relaxed",
  "magmom_total_mub_per_cell": 7.3,
  "polymorph_energy_mev_per_atom": 0,
  "lattice_angstrom": [[0.000, 3.675, 3.675], [3.675, 0.000, 3.675], [3.675, 3.675, 0.000]],
  "species": ["Nd", "Pu", "Te"],
  "frac_coords": [[0.000, 0.000, 0.000], [0.500, 0.500, 0.500], [0.250, 0.250, 0.250]]
}

20.
{
  "formula": "NdPuTl",
  "functional": "GGA-PBE",
  "state": "relaxed",
  "magmom_total_mub_per_cell": 6.6,
  "polymorph_energy_mev_per_atom": 0,
  "lattice_angstrom": [[0.000, 3.772, 3.772], [3.772, 0.000, 3.772], [3.772, 3.772, 0.000]],
  "species": ["Nd", "Pu", "Tl"],
  "frac_coords": [[0.000, 0.000, 0.000], [0.500, 0.500, 0.500], [0.250, 0.250, 0.250]]
}

21.
{
  "formula": "NdTmPu",
  "functional": "GGA-PBE",
  "state": "relaxed",
  "e_form_ev_per_atom": 0.79,
  "magmom_total_mub_per_cell": 6.3,
  "polymorph_energy_mev_per_atom": 0,
  "lattice_angstrom": [[0.000, 3.686, 3.686], [3.686, 0.000, 3.686], [3.686, 3.686, 0.000]],
  "species": ["Nd", "Tm", "Pu"],
  "frac_coords": [[0.000, 0.000, 0.000], [0.500, 0.500, 0.500], [0.250, 0.250, 0.250]]
}

22.
{
  "formula": "NdPuU",
  "functional": "GGA-PBE",
  "state": "relaxed",
  "e_form_ev_per_atom": 1.02,
  "magmom_total_mub_per_cell": 9.1,
  "polymorph_energy_mev_per_atom": 0,
  "lattice_angstrom": [[0.000, 3.552, 3.552], [3.552, 0.000, 3.552], [3.552, 3.552, 0.000]],
  "species": ["Nd", "Pu", "U"],
  "frac_coords": [[0.000, 0.000, 0.000], [0.500, 0.500, 0.500], [0.250, 0.250, 0.250]]
}

23.
{
  "formula": "NdYPu",
  "functional": "GGA-PBE",
  "state": "relaxed",
  "e_form_ev_per_atom": 0.78,
  "magmom_total_mub_per_cell": 6.6,
  "polymorph_energy_mev_per_atom": 0,
  "lattice_angstrom": [[0.000, 3.779, 3.779], [3.779, 0.000, 3.779], [3.779, 3.779, 0.000]],
  "species": ["Nd", "Y", "Pu"],
  "frac_coords": [[0.000, 0.000, 0.000], [0.500, 0.500, 0.500], [0.250, 0.250, 0.250]]
}

24.
{
  "formula": "NdPuZr",
  "functional": "GGA-PBE",
  "state": "relaxed",
  "e_form_ev_per_atom": 0.82,
  "magmom_total_mub_per_cell": 6.2,
  "polymorph_energy_mev_per_atom": 0,
  "lattice_angstrom": [[0.000, 3.647, 3.647], [3.647, 0.000, 3.647], [3.647, 3.647, 0.000]],
  "species": ["Nd", "Pu", "Zr"],
  "frac_coords": [[0.000, 0.000, 0.000], [0.500, 0.500, 0.500], [0.250, 0.250, 0.250]]
}

25.
{
  "formula": "Rb2Nd",
  "functional": "GGA-PBE",
  "state": "relaxed",
  "total_energy_ev_per_atom": -1.232,
  "magmom_total_mub_per_cell": 2.9,
  "lattice_angstrom": [[0.000, 4.913, 4.913], [4.913, 0.000, 4.913], [4.913, 4.913, 0.000]],
  "species": ["Rb", "Rb", "Nd"],
  "frac_coords": [[0.250, 0.250, 0.250], [0.750, 0.750, 0.750], [0.000, 0.000, 0.000]]
}

26.
{
  "formula": "RbNd",
  "functional": "GGA-PBE",
  "state": "relaxed",
  "total_energy_ev_per_atom": -2.345,
  "magmom_total_mub_per_cell": 0.1,
  "lattice_angstrom": [[3.805, 0.000, 0.000], [-1.903, 3.295, 0.000], [0.000, 0.000, 7.488]],
  "species": ["Rb", "Nd"],
  "frac_coords": [[0.000, 0.000, 0.000], [0.333, 0.667, 0.500]]
}

27.
{
  "formula": "RbNd2",
  "functional": "GGA-PBE",
  "state": "relaxed",
  "total_energy_ev_per_atom": -0.807,
  "magmom_total_mub_per_cell": 10.4,
  "lattice_angstrom": [[0.000, 8.918, 8.918], [8.918, 0.000, 8.918], [8.918, 8.918, 0.000]],
  "species": ["Rb", "Rb", "Nd", "Nd", "Nd", "Nd"],
  "frac_coords": [[0.125, 0.125, 0.125], [0.875, 0.875, 0.875], [0.000, 0.000, 0.000], [0.000, 0.000, 0.500], [0.000, 0.500, 0.000], [0.500, 0.000, 0.000]]
}

28.
{
  "formula": "RbNd",
  "functional": "GGA-PBE",
  "state": "relaxed",
  "total_energy_ev_per_atom": -1.661,
  "magmom_total_mub_per_cell": 0.0,
  "lattice_angstrom": [[0.000, 3.625, 3.625], [3.625, 0.000, 3.625], [3.625, 3.625, 0.000]],
  "species": ["Rb", "Nd"],
  "frac_coords": [[0.000, 0.000, 0.000], [0.500, 0.500, 0.500]]
}

29.
{
  "formula": "RbNd2",
  "functional": "GGA-PBE",
  "state": "relaxed",
  "total_energy_ev_per_atom": -2.921,
  "magmom_total_mub_per_cell": 1.6,
  "lattice_angstrom": [[0.000, 5.190, 5.190], [5.190, 0.000, 5.190], [5.190, 5.190, 0.000]],
  "species": ["Rb", "Rb", "Nd", "Nd", "Nd", "Nd"],
  "frac_coords": [[0.125, 0.125, 0.125], [0.875, 0.875, 0.875], [0.000, 0.500, 0.500], [0.500, 0.000, 0.500], [0.500, 0.500, 0.000], [0.500, 0.500, 0.500]]
}

30.
{
  "formula": "Rb3Nd",
  "functional": "GGA-PBE",
  "state": "relaxed",
  "total_energy_ev_per_atom": -1.261,
  "magmom_total_mub_per_cell": 5.3,
  "lattice_angstrom": [[7.268, 0.000, 0.000], [-3.634, 6.294, 0.000], [0.000, 0.000, 12.966]],
  "species": ["Rb", "Rb", "Rb", "Rb", "Rb", "Rb", "Nd", "Nd"],
  "frac_coords": [[0.000, 0.000, 0.250], [0.000, 0.000, 0.750], [0.333, 0.667, 0.077], [0.333, 0.667, 0.423], [0.667, 0.333, 0.577], [0.667, 0.333, 0.923], [0.333, 0.667, 0.750], [0.667, 0.333, 0.250]]
}